[1]
The following is a DFT calculation (PBE-GGA) of a relaxed CoAsW4N2 crystal.

Values from the calculation:
- symmetry = P-6m2 (187)
- electronic total energy (eV/atom) = -9.752
- total magnetization (μB per atom) = 0.13

```
CoAsW4N2
1.0
2.8811 0.0000 0.0000
-1.4405 2.4951 0.0000
0.0000 0.0000 14.0032
Co As W N
1 1 4 2
direct
0.0000 0.0000 0.0000
0.3333 0.6667 0.5000
0.0000 0.0000 0.3521
0.0000 0.0000 0.6479
0.3333 0.6667 0.1482
0.3333 0.6667 0.8518
0.6667 0.3333 0.2501
0.6667 0.3333 0.7499
```

[2]
The following is a DFT calculation (PBE-GGA) of a relaxed Ho2ZrGa2 crystal.

Values from the calculation:
- symmetry = P4/mbm (127)
- electronic total energy (eV/atom) = -5.219
- total magnetization (μB per atom) = 0.00

```
Ho2ZrGa2
1.0
7.3933 0.0000 0.0000
0.0000 7.3933 0.0000
0.0000 0.0000 4.2564
Ho Zr Ga
4 2 4
direct
0.1761 0.3239 0.0000
0.3239 0.8239 0.0000
0.6761 0.1761 0.0000
0.8239 0.6761 0.0000
0.0000 0.0000 0.5000
0.5000 0.5000 0.5000
0.1250 0.6250 0.5000
0.3750 0.1250 0.5000
0.6250 0.8750 0.5000
0.8750 0.3750 0.5000
```

[3]
The following is a DFT calculation (PBE-GGA) of a relaxed SmHoSi4Ni2 crystal.

Values from the calculation:
- symmetry = Amm2 (38)
- electronic total energy (eV/atom) = -6.099
- total magnetization (μB per atom) = 0.00

```
SmHoSi4Ni2
1.0
4.0049 0.0000 0.0000
0.0000 2.0219 8.1877
0.0000 -2.0219 8.1877
Sm Ho Si Ni
1 1 4 2
direct
0.0000 0.0000 0.0000
0.5000 0.2117 0.2117
0.0000 0.3543 0.3543
0.0000 0.6465 0.6465
0.5000 0.5659 0.5659
0.5000 0.8547 0.8547
0.0000 0.7840 0.7840
0.5000 0.4258 0.4258
```

[4]
The following is a DFT calculation (PBE-GGA) of a relaxed NaPrPt crystal.

Values from the calculation:
- symmetry = F-43m (216)
- electronic total energy (eV/atom) = -4.024
- total magnetization (μB per atom) = 0.00

```
NaPrPt
1.0
0.0000 3.3332 3.3332
3.3332 0.0000 3.3332
3.3332 3.3332 0.0000
Na Pr Pt
1 1 1
direct
0.0000 0.0000 0.0000
0.7500 0.7500 0.7500
0.2500 0.2500 0.2500
```

[5]
The following is a DFT calculation (PBE-GGA) of a relaxed SrGa2Ir2 crystal.

Values from the calculation:
- symmetry = I4/mmm (139)
- electronic total energy (eV/atom) = -5.643
- total magnetization (μB per atom) = 0.00

```
SrGa2Ir2
1.0
-2.1792 2.1792 5.1400
2.1792 -2.1792 5.1400
2.1792 2.1792 -5.1400
Sr Ga Ir
1 2 2
direct
0.0000 0.0000 0.0000
0.3672 0.3672 0.0000
0.6328 0.6328 0.0000
0.2500 0.7500 0.5000
0.7500 0.2500 0.5000
```

[6]
The following is a DFT calculation (PBE-GGA) of a relaxed CsLuCoSe3 crystal.

Values from the calculation:
- symmetry = Cmcm (63)
- electronic total energy (eV/atom) = -4.987
- total magnetization (μB per atom) = 0.49

```
CsLuCoSe3
1.0
2.0221 -8.1088 0.0000
2.0221 8.1088 0.0000
0.0000 0.0000 10.6916
Cs Lu Co Se
2 2 2 6
direct
0.2424 0.7576 0.7500
0.7576 0.2424 0.2500
0.5000 0.5000 0.0000
0.5000 0.5000 0.5000
0.0345 0.9655 0.2500
0.9655 0.0345 0.7500
0.1131 0.8869 0.0615
0.1131 0.8869 0.4385
0.4476 0.5524 0.2500
0.5524 0.4476 0.7500
0.8869 0.1131 0.5615
0.8869 0.1131 0.9385
```

[7]
The following is a DFT calculation (PBE-GGA) of a relaxed ZnOs crystal.

Values from the calculation:
- symmetry = Amm2 (38)
- electronic total energy (eV/atom) = -6.011
- total magnetization (μB per atom) = 0.00

```
ZnOs
1.0
4.4600 0.0000 0.0000
0.0000 4.0893 2.3131
0.0000 -4.0893 2.3131
Zn Os
3 3
direct
0.0000 0.0000 0.0000
0.5000 0.3161 0.9767
0.5000 0.9767 0.3161
0.0000 0.3398 0.6743
0.0000 0.6743 0.3398
0.5000 0.6350 0.6350
```

[8]
The following is a DFT calculation (PBE-GGA) of a relaxed CoSiNiAg crystal.

Values from the calculation:
- symmetry = F-43m (216)
- electronic total energy (eV/atom) = -5.208
- total magnetization (μB per atom) = 0.14

```
CoSiNiAg
1.0
0.0000 2.9255 2.9255
2.9255 0.0000 2.9255
2.9255 2.9255 0.0000
Co Si Ni Ag
1 1 1 1
direct
0.0000 0.0000 0.0000
0.7500 0.7500 0.7500
0.5000 0.5000 0.5000
0.2500 0.2500 0.2500
```

[9]
The following is a DFT calculation (PBE-GGA) of a relaxed SmTm2Ni4Ge4 crystal.

Values from the calculation:
- symmetry = Immm (71)
- electronic total energy (eV/atom) = -5.692
- total magnetization (μB per atom) = 0.00

```
SmTm2Ni4Ge4
1.0
-2.0284 3.3862 6.7299
2.0284 -3.3862 6.7299
2.0284 3.3862 -6.7299
Sm Tm Ni Ge
1 2 4 4
direct
0.0000 0.0000 0.0000
0.3707 0.8707 0.5000
0.6293 0.1293 0.5000
0.0181 0.3216 0.6965
0.3749 0.6784 0.6965
0.6251 0.3216 0.3035
0.9819 0.6784 0.3035
0.2191 0.2191 0.0000
0.3104 0.5000 0.8104
0.6896 0.5000 0.1896
0.7809 0.7809 0.0000
```

[10]
The following is a DFT calculation (PBE-GGA) of a relaxed SrEr2 crystal.

Values from the calculation:
- symmetry = Fm-3m (225)
- electronic total energy (eV/atom) = -2.623
- total magnetization (μB per atom) = 0.00

```
SrEr2
1.0
0.0000 3.9999 3.9999
3.9999 0.0000 3.9999
3.9999 3.9999 0.0000
Sr Er
1 2
direct
0.0000 0.0000 0.0000
0.2500 0.2500 0.2500
0.7500 0.7500 0.7500
```

[11]
The following is a DFT calculation (PBE-GGA) of a relaxed KRePt crystal.

Values from the calculation:
- symmetry = F-43m (216)
- electronic total energy (eV/atom) = -4.874
- total magnetization (μB per atom) = 0.14

```
KRePt
1.0
0.0000 3.1766 3.1766
3.1766 0.0000 3.1766
3.1766 3.1766 0.0000
K Re Pt
1 1 1
direct
0.0000 0.0000 0.0000
0.2500 0.2500 0.2500
0.5000 0.5000 0.5000
```

[12]
The following is a DFT calculation (PBE-GGA) of a relaxed NdSiSb crystal.

Values from the calculation:
- symmetry = F-43m (216)
- electronic total energy (eV/atom) = -4.956
- total magnetization (μB per atom) = 0.00

```
NdSiSb
1.0
0.0000 3.4827 3.4827
3.4827 0.0000 3.4827
3.4827 3.4827 0.0000
Nd Si Sb
1 1 1
direct
0.0000 0.0000 0.0000
0.2500 0.2500 0.2500
0.5000 0.5000 0.5000
```

[13]
The following is a DFT calculation (PBE-GGA) of a relaxed PaCo2Ir crystal.

Values from the calculation:
- symmetry = P4/mmm (123)
- electronic total energy (eV/atom) = -8.641
- total magnetization (μB per atom) = 0.28

```
PaCo2Ir
1.0
3.9582 0.0000 0.0000
0.0000 3.9582 0.0000
0.0000 0.0000 3.8262
Pa Co Ir
1 2 1
direct
0.0000 0.0000 0.0000
0.0000 0.5000 0.5000
0.5000 0.0000 0.5000
0.5000 0.5000 0.0000
```

[14]
The following is a DFT calculation (PBE-GGA) of a relaxed Y4Pt crystal.

Values from the calculation:
- symmetry = P4/mbm (127)
- electronic total energy (eV/atom) = -6.487
- total magnetization (μB per atom) = 0.00

```
Y4Pt
1.0
7.5492 0.0000 0.0000
0.0000 7.5492 0.0000
0.0000 0.0000 4.6354
Y Pt
8 2
direct
0.1538 0.3462 0.0000
0.1592 0.6592 0.5000
0.3408 0.1592 0.5000
0.3462 0.8462 0.0000
0.6538 0.1538 0.0000
0.6592 0.8408 0.5000
0.8408 0.3408 0.5000
0.8462 0.6538 0.0000
0.0000 0.0000 0.0000
0.5000 0.5000 0.0000
```

[15]
The following is a DFT calculation (PBE-GGA) of a relaxed NbCoPt2 crystal.

Values from the calculation:
- symmetry = F-43m (216)
- electronic total energy (eV/atom) = -7.560
- total magnetization (μB per atom) = 0.07

```
NbCoPt2
1.0
0.0000 3.1146 3.1146
3.1146 0.0000 3.1146
3.1146 3.1146 0.0000
Nb Co Pt
1 1 2
direct
0.0000 0.0000 0.0000
0.2500 0.2500 0.2500
0.5000 0.5000 0.5000
0.7500 0.7500 0.7500
```

[16]
The following is a DFT calculation (PBE-GGA) of a relaxed LuInPb crystal.

Values from the calculation:
- symmetry = F-43m (216)
- electronic total energy (eV/atom) = -3.739
- total magnetization (μB per atom) = 0.00

```
LuInPb
1.0
0.0000 3.5983 3.5983
3.5983 0.0000 3.5983
3.5983 3.5983 0.0000
Lu In Pb
1 1 1
direct
0.0000 0.0000 0.0000
0.7500 0.7500 0.7500
0.2500 0.2500 0.2500
```

[17]
The following is a DFT calculation (PBE-GGA) of a relaxed PmSnTe2 crystal.

Values from the calculation:
- symmetry = P4/mmm (123)
- electronic total energy (eV/atom) = -4.565
- total magnetization (μB per atom) = 0.00

```
PmSnTe2
1.0
4.5037 0.0000 0.0000
0.0000 4.5037 0.0000
0.0000 0.0000 6.4270
Pm Sn Te
1 1 2
direct
0.0000 0.0000 0.0000
0.5000 0.5000 0.5000
0.0000 0.0000 0.5000
0.5000 0.5000 0.0000
```

[18]
The following is a DFT calculation (PBE-GGA) of a relaxed ScCuTe3Pb crystal.

Values from the calculation:
- symmetry = Pnma (62)
- electronic total energy (eV/atom) = -4.429
- total magnetization (μB per atom) = 0.00

```
ScCuTe3Pb
1.0
12.4392 0.0000 0.0000
0.0000 4.2939 0.0000
0.0000 0.0000 12.2987
Sc Cu Te Pb
4 4 12 4
direct
0.0346 0.2500 0.1814
0.4654 0.7500 0.6814
0.5346 0.2500 0.3186
0.9654 0.7500 0.8186
0.2338 0.7500 0.3072
0.2662 0.2500 0.8072
0.7338 0.7500 0.1928
0.7662 0.2500 0.6928
0.0286 0.7500 0.3529
0.0937 0.2500 0.9340
0.2314 0.7500 0.6866
0.2686 0.2500 0.1866
0.4063 0.7500 0.4340
0.4714 0.2500 0.8529
0.5286 0.7500 0.1471
0.5937 0.2500 0.5660
0.7314 0.7500 0.8134
0.7686 0.2500 0.3134
0.9063 0.7500 0.0660
0.9714 0.2500 0.6471
0.1929 0.2500 0.4807
0.3071 0.7500 0.9807
0.6929 0.2500 0.0193
0.8071 0.7500 0.5193
```

[19]
The following is a DFT calculation (PBE-GGA) of a relaxed Cu2Ag3 crystal.

Values from the calculation:
- symmetry = C2/m (12)
- electronic total energy (eV/atom) = -3.105

```
Cu2Ag3
1.0
5.9285 -1.4244 0.0000
5.9285 1.4244 0.0000
-1.5340 0.0000 9.2318
Cu Ag
4 6
direct
0.1622 0.1622 0.4499
0.2490 0.2490 0.7307
0.7510 0.7510 0.2693
0.8378 0.8378 0.5501
0.0623 0.0623 0.1591
0.3478 0.3478 0.0634
0.4459 0.4459 0.3599
0.5541 0.5541 0.6401
0.6522 0.6522 0.9366
0.9377 0.9377 0.8409
```

[20]
The following is a DFT calculation (PBE-GGA) of a relaxed Zr2Al2Ag crystal.

Values from the calculation:
- symmetry = I4/mmm (139)
- electronic total energy (eV/atom) = -5.166
- total magnetization (μB per atom) = 0.01

```
Zr2Al2Ag
1.0
-2.0753 2.0753 6.3433
2.0753 -2.0753 6.3433
2.0753 2.0753 -6.3433
Zr Al Ag
2 2 1
direct
0.2500 0.7500 0.5000
0.7500 0.2500 0.5000
0.0952 0.0952 0.0000
0.9048 0.9048 0.0000
0.5000 0.5000 0.0000
```